Entry 1:
Crystalline RbCu3Te4Ir at its relaxed geometry. Source: OQMD, functional PBE-GGA.

## Properties
size of the total moment: 0.69 μB per formula unit
space-group type: P-43m, No. 215
E_tot: -32.97 eV/f.u.

Cell lengths 6.586, 6.586, 6.586 Å; angles 90.00, 90.00, 90.00 degrees
Site moments in Bohr magnetons follow the coordinates.
Element x y z (fractional)
Te  0.280  0.280  0.280  0.04
Te  0.720  0.280  0.720  0.02
Te  0.280  0.720  0.720  0.02
Te  0.720  0.720  0.280  0.03
Cu  0.000  0.500  0.500  0.03
Cu  0.500  0.500  0.000  0.02
Cu  0.500  0.000  0.500  0.02
Rb  0.000  0.000  0.000  0.01
Ir  0.500  0.500  0.500  0.27

---

Entry 2:
Crystalline RbCuTe3Ir at its relaxed geometry. Source: OQMD, functional PBE-GGA.

## Properties
size of the total moment: 0.00 μB per formula unit
space-group type: Cmcm, No. 63
E_tot: -24.81 eV/f.u.

Cell lengths 10.551, 8.371, 8.371 Å; angles 27.84, 90.00, 90.00 degrees
Element x y z (fractional)
Te  0.280  0.391  0.391
Te  0.720  0.391  0.391
Te  0.500  0.059  0.059
Te  0.780  0.609  0.609
Te  0.220  0.609  0.609
Te  0.000  0.941  0.941
Ir  0.750  0.000  0.000
Ir  0.250  0.000  0.000
Rb  0.500  0.761  0.761
Rb  0.000  0.239  0.239
Cu  0.500  0.457  0.457
Cu  0.000  0.543  0.543

---

Entry 3:
Crystalline CuRe6Ir at its relaxed geometry. Source: OQMD, functional PBE-GGA.

## Properties
size of the total moment: 0.00 μB per formula unit
space-group type: P-6m2, No. 187
formation enthalpy at 0 K: -0.0636 eV per atom

Cell lengths 5.512, 5.512, 4.379 Å; angles 90.00, 90.00, 120.00 degrees
Element x y z (fractional)
Re  0.167  0.833  0.500
Re  0.666  0.833  0.500
Re  0.012  0.506  0.000
Re  0.494  0.988  0.000
Re  0.167  0.334  0.500
Re  0.494  0.506  0.000
Cu  0.000  0.000  0.000
Ir  0.667  0.333  0.500